A plane-wave DFT calculation with PBE-GGA was carried out for a relaxed structure of YAlTc.

Cell: 4.3620 4.3620 3.7101 Å, 90.00 90.00 120.00°
Atoms (fractional coordinates):
Tc (0.6667, 0.3333, 0.1667)
Y (0.3333, 0.6667, 0.6667)
Al (0.0000, 0.0000, 0.1667)

SG = P-6m2
E above lowest polymorph = 0.263 eV/atom
Calculated formation energy = -0.49 eV per formula unit

---

A plane-wave DFT calculation with PBE-GGA was carried out for a relaxed structure of YAl3Tc.

Cell: 4.7132 4.7132 4.7132 Å, 90.00 90.00 90.00°
Atoms (fractional coordinates):
Al (0.0000, 0.5000, 0.0000)
Tc (0.0000, 0.0000, 0.0000)
Al (0.0000, 0.0000, 0.5000)
Y (0.5000, 0.5000, 0.5000)
Al (0.5000, 0.0000, 0.0000)

SG = Pm-3m
E above lowest polymorph = 0.000 eV/atom
Calculated formation energy = -1.14 eV per formula unit

---

A plane-wave DFT calculation with PBE-GGA was carried out for a relaxed structure of YAlTc.

Cell: 4.6747 4.6747 4.6747 Å, 60.00 60.00 60.00°
Last column: magnetic moment on the atom in μB.
Atoms (fractional coordinates):
Tc (0.5000, 0.5000, 0.5000)  0.99
Y (0.7500, 0.7500, 0.7500)  -0.03
Al (0.0000, 0.0000, 0.0000)  -0.02

SG = F-43m
E above lowest polymorph = 1.461 eV/atom
Calculated formation energy = 3.10 eV per formula unit

---

Number 3 is which compound? YAlTc